A plane-wave DFT calculation with PBE-GGA was carried out for a relaxed KMn4Hg crystal.

The value obtained for the total magnetization is 60.695 μB/cell. The calculation puts the formation energy at 0.76 eV per atom.

The structure belongs to space group F-43m (No. 216); the cell edges are 7.790, 7.790 and 7.790 Å and the angles 90.00°, 90.00° and 90.00°. The distinct sites, in fractional coordinates, are K at (0.000, 0.000, 0.000), Mn at (0.123, 0.123, 0.623) and Hg at (0.250, 0.250, 0.250).